Entry 1:
{"formula": "Sm7Cd2Ru2", "functional": "PBE-GGA", "state": "relaxed", "de_polymorph_ev_per_atom": 0.055, "lattice_angstrom": [[-4.8615, -0.4962, -4.8651], [-0.9383, -7.0300, 1.6547], [-3.0259, 1.7994, 5.9292]], "species": ["Sm", "Sm", "Sm", "Sm", "Sm", "Sm", "Sm", "Ru", "Ru", "Cd", "Cd"], "fractional_positions": [[0.5000, 0.7482, 0.0000], [0.0000, 0.0000, 0.0000], [0.5000, 0.7589, 0.5000], [0.5000, 0.2411, 0.5000], [0.0000, 0.7482, 0.5000], [0.5000, 0.2518, 0.0000], [0.0000, 0.2518, 0.5000], [0.2948, 0.0000, 0.7052], [0.7052, 0.0000, 0.2948], [0.1737, 0.5000, 0.1737], [0.8263, 0.5000, 0.8263]]}

Entry 2:
{"formula": "PmSb2F8", "functional": "PBE-GGA", "state": "relaxed", "raw_formation_energy_mev_per_atom": -2718, "de_polymorph_ev_per_atom": 0.040, "lattice_angstrom": [[6.1064, 0.0516, 0.0391], [0.1271, 6.0628, 1.0139], [0.1271, 2.6090, 5.5659]], "species": ["Sb", "Sb", "F", "F", "F", "F", "F", "F", "F", "F", "Pm"], "fractional_positions": [[0.4001, 0.2516, 0.2516], [0.5999, 0.7484, 0.7484], [0.8291, 0.6110, 0.6110], [0.6722, 0.0987, 0.0987], [0.7991, 0.6416, 0.0693], [0.2009, 0.9307, 0.3584], [0.7991, 0.0693, 0.6416], [0.1709, 0.3890, 0.3890], [0.2009, 0.3584, 0.9307], [0.3278, 0.9013, 0.9013], [0.0000, 0.0000, 0.0000]]}

Entry 3:
{"formula": "Ag4Te3S8", "functional": "PBE-GGA", "state": "relaxed", "raw_formation_energy_mev_per_atom": 72, "lattice_angstrom": [[-5.0868, -5.9210, 0.3636], [0.7134, -5.4271, 5.5770], [-5.4035, -0.1446, 6.0253]], "species": ["S", "S", "S", "S", "S", "S", "S", "S", "Ag", "Ag", "Ag", "Ag", "Te", "Te", "Te"], "fractional_positions": [[0.7753, 0.2446, 0.7354], [0.7582, 0.7582, 0.7254], [0.2247, 0.7554, 0.2646], [0.7554, 0.2247, 0.2646], [0.2418, 0.2418, 0.2746], [0.2446, 0.7753, 0.7354], [0.7554, 0.7554, 0.2646], [0.2446, 0.2446, 0.7354], [0.6362, 0.6362, 0.0915], [0.5000, 0.5000, 0.5000], [0.3638, 0.3638, 0.9085], [0.0000, 0.0000, 0.0000], [0.0000, 0.5000, 0.5000], [0.0000, 0.0000, 0.5000], [0.5000, 0.0000, 0.5000]]}

Entry 4:
{"formula": "YbTlSe2", "functional": "PBE-GGA", "state": "relaxed", "raw_formation_energy_mev_per_atom": -1151, "lattice_angstrom": [[7.8197, 0.1145, 0.0700], [6.6227, 4.1594, 0.0700], [6.6227, 1.9598, 3.6694]], "species": ["Se", "Se", "Tl", "Yb"], "fractional_positions": [[0.2628, 0.2628, 0.2628], [0.7372, 0.7372, 0.7372], [0.5000, 0.5000, 0.5000], [0.0000, 0.0000, 0.0000]]}

Entry 5:
{"formula": "Dy3Er12Th", "functional": "PBE-GGA", "state": "relaxed", "dft_energy_ev_per_atom": -4.72, "lattice_angstrom": [[-1.1493, 4.4856, 1.8325], [-3.3718, -2.0930, 3.0084], [13.8945, -2.1817, 14.0548]], "species": ["Er", "Er", "Er", "Er", "Er", "Er", "Er", "Er", "Er", "Er", "Er", "Er", "Dy", "Dy", "Dy", "Th"], "fractional_positions": [[0.5000, 0.5000, 0.7489], [0.0000, 0.5000, 0.1241], [0.0000, 0.5000, 0.8759], [0.5000, 0.5000, 0.0000], [0.5000, 0.5000, 0.5000], [0.5000, 0.0000, 0.3748], [0.0000, 0.5000, 0.3748], [0.5000, 0.0000, 0.8759], [0.0000, 0.5000, 0.6252], [0.5000, 0.0000, 0.6252], [0.5000, 0.0000, 0.1241], [0.5000, 0.5000, 0.2511], [0.0000, 0.0000, 0.2496], [0.0000, 0.0000, 0.5000], [0.0000, 0.0000, 0.7504], [0.0000, 0.0000, 0.0000]]}

Entry 6:
{"formula": "TbPmPa2P4", "functional": "PBE-GGA", "state": "relaxed", "dft_energy_ev_per_atom": -7.70, "lattice_angstrom": [[4.0158, 0.0000, 0.0000], [0.0000, 6.9590, -0.1386], [0.0000, 2.4479, 6.5108]], "species": ["Tb", "Pm", "P", "P", "P", "P", "Pa", "Pa"], "fractional_positions": [[0.0000, 0.5000, 0.5000], [0.5000, 0.5000, 0.0000], [0.5000, 0.2412, 0.7501], [0.5000, 0.7588, 0.2499], [0.0000, 0.2388, 0.2567], [0.0000, 0.7612, 0.7433], [0.0000, 0.0000, 0.0000], [0.5000, 0.0000, 0.5000]]}

Entry 7:
{"formula": "Sr2BeGaAg", "functional": "PBE-GGA", "state": "relaxed", "dft_energy_ev_per_atom": -2.64, "lattice_angstrom": [[-4.9024, -0.3120, 3.1882], [-0.6568, -3.9162, -1.3932], [3.0702, -2.1206, 4.5135]], "species": ["Sr", "Sr", "Ag", "Be", "Ga"], "fractional_positions": [[0.0000, 0.0000, 0.5000], [0.5000, 0.0000, 0.0000], [0.5000, 0.5000, 0.5000], [0.0000, 0.0000, 0.0000], [0.0000, 0.5000, 0.0000]]}

Entry 8:
{"formula": "Ba4PdI3", "functional": "PBE-GGA", "state": "relaxed", "raw_formation_energy_mev_per_atom": -1141, "lattice_angstrom": [[8.2489, -0.0516, 0.0000], [-2.9402, 8.6347, 0.0000], [0.0000, 0.0000, 10.1120]], "species": ["I", "I", "I", "I", "I", "I", "Ba", "Ba", "Ba", "Ba", "Ba", "Ba", "Ba", "Ba", "Pd", "Pd"], "fractional_positions": [[0.7500, 0.5000, 0.6115], [0.2500, 0.5000, 0.8770], [0.2500, 0.5000, 0.3885], [0.7500, 0.0000, 0.3920], [0.2500, 0.0000, 0.6080], [0.7500, 0.5000, 0.1230], [0.4735, 0.2255, 0.3398], [0.4973, 0.2040, 0.8934], [0.5027, 0.7960, 0.1066], [0.0027, 0.7960, 0.8934], [0.9973, 0.2040, 0.1066], [0.5265, 0.7745, 0.6602], [0.9735, 0.2255, 0.6602], [0.0265, 0.7745, 0.3398], [0.2500, 0.0000, 0.1229], [0.7500, 0.0000, 0.8771]]}

Entry 9:
{"formula": "ErTh4B3Rh12", "functional": "PBE-GGA", "state": "relaxed", "dft_energy_ev_per_atom": -7.79, "lattice_angstrom": [[-4.2111, -6.3016, 1.0845], [4.1588, 1.4013, 6.2738], [-4.6176, 5.9486, -1.3823]], "species": ["Rh", "Rh", "Rh", "Rh", "Rh", "Rh", "Rh", "Rh", "Rh", "Rh", "Rh", "Rh", "Er", "B", "B", "B", "Th", "Th", "Th", "Th"], "fractional_positions": [[0.7500, 0.5000, 0.2500], [0.2500, 0.5000, 0.7500], [0.5000, 0.2500, 0.7500], [0.2808, 0.2808, 0.0000], [0.5000, 0.7500, 0.2500], [0.2500, 0.7500, 0.5000], [0.2808, 0.0000, 0.2808], [0.7192, 0.0000, 0.7192], [0.7500, 0.2500, 0.5000], [0.0000, 0.7192, 0.7192], [0.0000, 0.2808, 0.2808], [0.7192, 0.7192, 0.0000], [0.0000, 0.0000, 0.0000], [0.5000, 0.5000, 0.0000], [0.5000, 0.0000, 0.5000], [0.0000, 0.5000, 0.5000], [0.5000, 0.0000, 0.0000], [0.5000, 0.5000, 0.5000], [0.0000, 0.0000, 0.5000], [0.0000, 0.5000, 0.0000]]}

Entry 10:
{"formula": "TbSmHoHg", "functional": "PBE-GGA", "state": "relaxed", "de_polymorph_ev_per_atom": 0.168, "lattice_angstrom": [[5.4373, 0.0000, 0.0000], [2.7186, 4.7088, 0.0000], [2.7186, 1.5696, 4.4395]], "species": ["Sm", "Hg", "Ho", "Tb"], "fractional_positions": [[0.5000, 0.5000, 0.5000], [0.2500, 0.2500, 0.2500], [0.7500, 0.7500, 0.7500], [0.0000, 0.0000, 0.0000]]}

Entry 11:
{"formula": "In2SbAu", "functional": "PBE-GGA", "state": "relaxed", "raw_formation_energy_mev_per_atom": -15, "de_polymorph_ev_per_atom": 0.062, "lattice_angstrom": [[3.3438, 0.0000, 0.0000], [0.0000, 3.3438, 0.0000], [0.0000, 0.0000, 8.7880]], "species": ["In", "In", "Au", "Sb"], "fractional_positions": [[0.0000, 0.0000, 0.5353], [0.0000, 0.0000, 0.9647], [0.5000, 0.5000, 0.7500], [0.5000, 0.5000, 0.2500]]}

Entry 12:
{"formula": "CrHg2Br", "functional": "PBE-GGA", "state": "relaxed", "raw_formation_energy_mev_per_atom": 99, "de_polymorph_ev_per_atom": 0.075, "lattice_angstrom": [[-0.3803, -2.5552, 2.2359], [3.3838, -0.4700, 0.0384], [0.7294, 5.8022, 6.7547]], "species": ["Cr", "Br", "Hg", "Hg"], "fractional_positions": [[0.5000, 0.5000, 0.7399], [0.0000, 0.0000, 0.5780], [0.5000, 0.5000, 0.2283], [0.0000, 0.0000, 0.9538]]}

Record-wise size of the total moment values, in Bohr magnetons per cell: 0.00; 0.00; 0.00; 0.37; 0.00; 0.00; 0.00; 0.00; 0.00; 0.00; 0.00; 4.65
Record-wise calculated volume values, in Å³/f.u.: 329; 190; 355; 115; 493; 183; 144; 359; 345; 114; 98; 104